Density functional theory data (PBE-GGA) for a geometry-optimized Sc5CuTe2 structure.

Unit cell a=7.311 b=11.297 c=4.313 alpha=90.00 beta=90.00 gamma=90.00
Positions (direct):
1 Sc 0.000 0.000 0.000
2 Sc 0.144 0.291 0.000
3 Sc 0.186 0.564 0.500
4 Sc 0.314 0.064 0.500
5 Sc 0.356 0.791 0.000
6 Sc 0.500 0.500 0.000
7 Sc 0.644 0.209 0.000
8 Sc 0.686 0.936 0.500
9 Sc 0.814 0.436 0.500
10 Sc 0.856 0.709 0.000
11 Cu 0.000 0.500 0.000
12 Cu 0.500 0.000 0.000
13 Te 0.072 0.827 0.500
14 Te 0.428 0.327 0.500
15 Te 0.572 0.673 0.500
16 Te 0.928 0.173 0.500

* SG: No. 55
* raw formation energy: -0.588 eV/atom